Sc2PdPbI | PBEsol | optimized geometry

Space-group type ... P4/mmm, No. 123
Formation energy from raw total energies ... 0.156 eV/atom
E ... -24.15 eV for the cell shown

Cell: 4.876 5.228 5.228 Å, 90.00 90.00 90.00°
Sites, in units of the cell vectors:
Sc 0.000 0.000 0.500
Sc 0.000 0.500 0.000
Pd 0.500 0.000 0.000
I 0.000 0.000 0.000
Pb 0.500 0.500 0.500

---

LiZnIn2 | PBEsol | optimized geometry

Space-group type ... Cmmm, No. 65
ΔE_f ... -0.095 eV/atom
E ... -9.90 eV for the cell shown

Cell: 3.139 5.117 5.117 Å, 108.01 90.00 90.00°
Sites, in units of the cell vectors:
Zn 0.500 0.500 0.500
In 0.000 0.000 0.500
In 0.000 0.500 0.000
Li 0.500 0.000 0.000

---

ZrC | PBEsol | optimized geometry

Space-group type ... P4/nmm, No. 129
ΔE_f ... -0.179 eV/atom
E ... -38.18 eV for the cell shown
Energy above the lowest structure with this stoichiometry ... 0.7400 eV per atom

Cell: 2.996 4.214 4.214 Å, 90.00 90.00 90.00°
Sites, in units of the cell vectors:
C 0.000 0.000 0.000
C 0.000 0.500 0.500
Zr 0.244 0.500 0.000
Zr 0.756 0.000 0.500

---

TaSiRu | PBEsol | optimized geometry

Space-group type ... Ima2, No. 46
Formation energy from raw total energies ... -0.675 eV/atom
E ... -182.96 eV for the cell shown

Cell: 6.450 7.363 7.215 Å, 60.66 90.00 115.98°
Sites, in units of the cell vectors:
Ru 0.255 0.752 0.090
Ta 0.082 0.997 0.252
Si 0.171 0.334 0.329
Ru 0.503 0.248 0.342
Ru 0.750 0.000 0.000
Si 0.837 0.666 0.163
Si 0.837 0.666 0.671
Ta 0.942 0.439 0.531
Ta 0.086 0.003 0.748
Ta 0.512 0.609 0.946
Si 0.528 0.059 0.721
Si 0.171 0.334 0.837
Ru 0.255 0.752 0.658
Ta 0.503 0.561 0.469
Ru 0.503 0.248 0.910
Ta 0.903 0.391 0.054
Ru 0.750 0.000 0.500
Si 0.469 0.941 0.279

---

Question: What is the E in the fourth record?
Answer: -182.96 eV for the cell shown